# 1
## HfFeSnAu (GGA-PBE)

Data for HfFeSnAu after structural relaxation.

Calculated values
symmetry: F-43m
uncorrected energy: -6.407 eV/atom
total magnetic moment: 2.21 Bohr magnetons per cell
energy relative to the lowest polymorph listed for this composition: 79 meV per atom

Cell: 4.637 4.637 4.637 Å, 60.00 60.00 60.00°
Fractional positions:
Au 0.500 0.500 0.500
Fe 0.750 0.750 0.750
Hf 0.250 0.250 0.250
Sn 0.000 0.000 0.000

---

# 2
## HfZnFeAu (GGA-PBE)

Data for HfZnFeAu after structural relaxation.

Calculated values
energy of formation: -0.157 eV/atom
symmetry: F-43m
uncorrected energy: -5.856 eV/atom
total magnetic moment: 1.36 Bohr magnetons per cell
energy relative to the lowest polymorph listed for this composition: 0 meV per atom

Cell: 4.500 4.500 4.500 Å, 60.00 60.00 60.00°
Fractional positions:
Au 0.250 0.250 0.250
Fe 0.750 0.750 0.750
Hf 0.500 0.500 0.500
Zn 0.000 0.000 0.000

---

# 3
## HfZnFeAu (GGA-PBE)

Data for HfZnFeAu after structural relaxation.

Calculated values
energy of formation: -0.081 eV/atom
symmetry: F-43m
uncorrected energy: -5.780 eV/atom
total magnetic moment: 2.64 Bohr magnetons per cell
energy relative to the lowest polymorph listed for this composition: 76 meV per atom

Cell: 4.543 4.543 4.543 Å, 60.00 60.00 60.00°
Fractional positions:
Au 0.500 0.500 0.500
Fe 0.750 0.750 0.750
Hf 0.250 0.250 0.250
Zn 0.000 0.000 0.000

---

What is the formula in the first record? HfFeSnAu

---

total magnetic moment of number 3 (HfZnFeAu)? 2.64 Bohr magnetons per cell

---

Which of these has the lowest uncorrected energy? HfFeSnAu